An optimized crystal structure of MgCo2O4. Source: Alexandria via LeMat-Bulk, functional PBE with a Hubbard U.

Cell lengths 5.606, 10.039, 4.864 Å; angles 90.00, 90.00, 90.00 degrees
Atoms (fractional coordinates):
Mg 0.250 0.250 0.030
Mg 0.250 0.750 0.355
Mg 0.750 0.250 0.645
Mg 0.750 0.750 0.970
Co 0.000 0.000 0.500
Co 0.000 0.500 0.500
Co 0.250 0.509 0.992
Co 0.250 0.991 0.992
Co 0.500 0.000 0.500
Co 0.500 0.500 0.500
Co 0.750 0.009 0.008
Co 0.750 0.491 0.008
O 0.002 0.108 0.834
O 0.002 0.392 0.834
O 0.250 0.097 0.315
O 0.250 0.403 0.315
O 0.250 0.604 0.651
O 0.250 0.896 0.651
O 0.498 0.108 0.834
O 0.498 0.392 0.834
O 0.502 0.608 0.166
O 0.502 0.892 0.166
O 0.750 0.104 0.349
O 0.750 0.396 0.349
O 0.750 0.597 0.685
O 0.750 0.903 0.685
O 0.998 0.608 0.166
O 0.998 0.892 0.166

SG: Pmmn (59)
Fermi-level density of states (states/eV per atom): 0.000
Calculated total energy (eV/atom): -5.958
Size of the total moment (μB per atom): 0.000